TbNd6Er6: optimized geometry, GGA-PBE.

## Properties
Calculated volume in Å³/cell: 446.8
Calculated formation energy in eV/atom: 0.2639
Space-group type: P6/mmm, No. 191
Uncorrected energy in eV/atom: -4.399

Cell: 6.725 6.725 11.406 Å, 90.00 90.00 120.00°
Positions (direct):
Nd (0.667, 0.333, 0.500)
Nd (0.000, 0.000, 0.657)
Nd (0.667, 0.333, 0.000)
Nd (0.000, 0.000, 0.343)
Nd (0.333, 0.667, 0.000)
Nd (0.333, 0.667, 0.500)
Tb (0.000, 0.000, 0.000)
Er (0.500, 0.500, 0.754)
Er (0.500, 0.500, 0.246)
Er (0.000, 0.500, 0.754)
Er (0.500, 0.000, 0.246)
Er (0.000, 0.500, 0.246)
Er (0.500, 0.000, 0.754)